Entry 1:
Compound: TlPCl3
Source: Alexandria
Functional: PBE
Structure: relaxed

Results
DFT total energy ... -3.028 eV/atom
Raw formation energy ... -365.2 meV/atom
Mass density ... 4334 kg/m3

CIF file:
```
data_TlPCl3
_chemical_formula_sum 'Tl2 P2 Cl6'
_cell_length_a 7.7444
_cell_length_b 7.7444
_cell_length_c 5.0417
_cell_angle_alpha 90.00
_cell_angle_beta 90.00
_cell_angle_gamma 120.00
_space_group_name_H-M_alt 'P 63/m m c'
_space_group_IT_number 194
_space_group_name_Hall '-P 6c 2c'
loop_
_atom_site_label
_atom_site_type_symbol
_atom_site_fract_x
_atom_site_fract_y
_atom_site_fract_z
Tl1 Tl 0.3333 0.6667 0.2500
P1 P 0.0000 0.0000 0.0000
Cl1 Cl 0.1726 0.3453 0.7500
```

***

Entry 2:
Compound: Cd2TcCl
Source: Alexandria
Functional: PBE
Structure: relaxed

Results
DFT total energy ... -3.324 eV/atom
Raw formation energy ... 187.0 meV/atom
Mass density ... 7565 kg/m3

CIF file:
```
data_Cd2TcCl
_chemical_formula_sum 'Cd6 Tc3 Cl3'
_cell_length_a 3.2126
_cell_length_b 3.2126
_cell_length_c 26.3955
_cell_angle_alpha 90.00
_cell_angle_beta 90.00
_cell_angle_gamma 120.00
_space_group_name_H-M_alt 'R -3 m'
_space_group_IT_number 166
_space_group_name_Hall '-R 3 2"'
loop_
_atom_site_label
_atom_site_type_symbol
_atom_site_fract_x
_atom_site_fract_y
_atom_site_fract_z
Cd1 Cd 0.0000 0.0000 0.2486
Tc1 Tc 0.0000 0.0000 0.5000
Cl1 Cl 0.0000 0.0000 0.0000
```

***

Entry 3:
Compound: NaLaPb
Source: Alexandria
Functional: PBE
Structure: relaxed

Results
DFT total energy ... -3.499 eV/atom
Energy of formation from the pure elements ... -0.18 eV per atom
Mass density ... 6185 kg/m3

CIF file:
```
data_NaLaPb
_chemical_formula_sum 'Na2 La2 Pb2'
_cell_length_a 3.633
_cell_length_b 3.633
_cell_length_c 15.018
_cell_angle_alpha 90.00
_cell_angle_beta 90.00
_cell_angle_gamma 90.00
_space_group_name_H-M_alt 'I 4 m m'
_space_group_IT_number 107
_space_group_name_Hall 'I 4 -2'
loop_
_atom_site_label
_atom_site_type_symbol
_atom_site_fract_x
_atom_site_fract_y
_atom_site_fract_z
Na1 Na 0.000 0.000 0.000
La1 La 0.000 0.000 0.295
Pb1 Pb 0.000 0.000 0.645
```

***

Entry 4:
Compound: Na4SbTe
Source: Alexandria
Functional: PBE
Structure: relaxed

Results
DFT total energy ... -2.663 eV/atom
Raw formation energy ... -573.0 meV/atom
Mass density ... 2824 kg/m3

CIF file:
```
data_Na4SbTe
_chemical_formula_sum 'Na16 Sb4 Te4'
_cell_length_a 14.935
_cell_length_b 8.427
_cell_length_c 6.511
_cell_angle_alpha 90.00
_cell_angle_beta 101.57
_cell_angle_gamma 90.00
_space_group_name_H-M_alt 'C 1 2/m 1'
_space_group_IT_number 12
loop_
_space_group_symop_operation_xyz
'x,y,z'
'-x,-y,-z'
'-x,y,-z'
'x,-y,z'
'x+1/2,y+1/2,z'
'-x+1/2,-y+1/2,-z'
'-x+1/2,y+1/2,-z'
'x+1/2,-y+1/2,z'
loop_
_atom_site_label
_atom_site_type_symbol
_atom_site_fract_x
_atom_site_fract_y
_atom_site_fract_z
Na1 Na 0.000 0.192 0.000
Na2 Na 0.140 0.283 0.550
Na3 Na 0.183 0.500 0.060
Sb1 Sb 0.000 0.500 0.263
Te1 Te 0.178 0.000 0.251
```

***

Entry 5:
Compound: Mg5Ti
Source: Alexandria
Functional: PBE
Structure: relaxed

Results
DFT total energy ... -2.474 eV/atom
Energy of formation from the pure elements ... 0.17 eV per atom
Mass density ... 2166 kg/m3

CIF file:
```
data_Mg5Ti
_chemical_formula_sum 'Mg5 Ti1'
_cell_length_a 5.4724
_cell_length_b 5.4724
_cell_length_c 5.0055
_cell_angle_alpha 90.00
_cell_angle_beta 90.00
_cell_angle_gamma 120.00
_space_group_name_H-M_alt 'P -6 2 m'
_space_group_IT_number 189
_space_group_name_Hall 'P -6 -2'
loop_
_atom_site_label
_atom_site_type_symbol
_atom_site_fract_x
_atom_site_fract_y
_atom_site_fract_z
Mg1 Mg 0.0000 0.3255 0.0000
Mg2 Mg 0.3333 0.6667 0.5000
Ti1 Ti 0.0000 0.0000 0.5000
```

***

Entry 6:
Compound: CrCoP2
Source: Alexandria
Functional: PBE
Structure: relaxed

Results
DFT total energy ... -7.051 eV/atom
Energy of formation from the pure elements ... -0.16 eV per atom
Mass density ... 6223 kg/m3

CIF file:
```
data_CrCoP2
_chemical_formula_sum 'Cr3 Co3 P6'
_cell_length_a 2.7555
_cell_length_b 2.7555
_cell_length_c 21.0456
_cell_angle_alpha 90.00
_cell_angle_beta 90.00
_cell_angle_gamma 120.00
_space_group_name_H-M_alt 'R -3 m'
_space_group_IT_number 166
_space_group_name_Hall '-R 3 2"'
loop_
_atom_site_label
_atom_site_type_symbol
_atom_site_fract_x
_atom_site_fract_y
_atom_site_fract_z
Cr1 Cr 0.0000 0.0000 0.0000
Co1 Co 0.0000 0.0000 0.5000
P1 P 0.0000 0.0000 0.2496
```

***

Entry 7:
Compound: YHoNiPt
Source: Alexandria
Functional: PBE
Structure: relaxed

Results
DFT total energy ... -6.526 eV/atom
Energy of formation from the pure elements ... -0.81 eV per atom
Mass density ... 10307 kg/m3

CIF file:
```
data_YHoNiPt
_chemical_formula_sum 'Y4 Ho4 Ni4 Pt4'
_cell_length_a 6.890
_cell_length_b 6.890
_cell_length_c 6.890
_cell_angle_alpha 90.00
_cell_angle_beta 90.00
_cell_angle_gamma 90.00
_space_group_name_H-M_alt 'F -4 3 m'
_space_group_IT_number 216
_space_group_name_Hall 'F -4 2 3'
loop_
_atom_site_label
_atom_site_type_symbol
_atom_site_fract_x
_atom_site_fract_y
_atom_site_fract_z
Y1 Y 0.000 0.000 0.000
Ho1 Ho 0.000 0.000 0.500
Ni1 Ni 0.250 0.250 0.750
Pt1 Pt 0.250 0.250 0.250
```

***

Entry 8:
Compound: LaDy5YTh2
Source: Alexandria
Functional: PBE
Structure: relaxed

Results
DFT total energy ... -5.147 eV/atom
Energy of formation from the pure elements ... 0.32 eV per atom
Mass density ... 8219 kg/m3

CIF file:
```
data_LaDy5YTh2
_chemical_formula_sum 'La4 Dy20 Y4 Th8'
_cell_length_a 8.927
_cell_length_b 8.927
_cell_length_c 15.255
_cell_angle_alpha 90.00
_cell_angle_beta 90.00
_cell_angle_gamma 90.00
_space_group_name_H-M_alt 'I 4/m c m'
_space_group_IT_number 140
_space_group_name_Hall '-I 4 2c'
loop_
_atom_site_label
_atom_site_type_symbol
_atom_site_fract_x
_atom_site_fract_y
_atom_site_fract_z
La1 La 0.000 0.000 0.250
Dy1 Dy 0.000 0.000 0.000
Dy2 Dy 0.207 0.293 0.136
Y1 Y 0.000 0.500 0.250
Th1 Th 0.119 0.381 0.500
```

***

Entry 9:
Compound: PrZrAg2
Source: Alexandria
Functional: PBE
Structure: relaxed

Results
DFT total energy ... -4.781 eV/atom
Energy of formation from the pure elements ... -0.02 eV per atom
Mass density ... 7882 kg/m3

CIF file:
```
data_PrZrAg2
_chemical_formula_sum 'Pr1 Zr1 Ag2'
_cell_length_a 5.138
_cell_length_b 5.138
_cell_length_c 3.574
_cell_angle_alpha 90.00
_cell_angle_beta 90.00
_cell_angle_gamma 90.00
_space_group_name_H-M_alt 'P 4/m m m'
_space_group_IT_number 123
_space_group_name_Hall '-P 4 2'
loop_
_atom_site_label
_atom_site_type_symbol
_atom_site_fract_x
_atom_site_fract_y
_atom_site_fract_z
Pr1 Pr 0.000 0.000 0.000
Zr1 Zr 0.500 0.500 0.000
Ag1 Ag 0.000 0.500 0.500
```

***

Entry 10:
Compound: PmTh6Sc4
Source: Alexandria
Functional: PBE
Structure: relaxed

Results
DFT total energy ... -6.365 eV/atom
Energy of formation from the pure elements ... 0.42 eV per atom
Mass density ... 8182 kg/m3

CIF file:
```
data_PmTh6Sc4
_chemical_formula_sum 'Pm2 Th12 Sc8'
_cell_length_a 7.650
_cell_length_b 7.650
_cell_length_c 11.910
_cell_angle_alpha 90.00
_cell_angle_beta 90.00
_cell_angle_gamma 90.00
_space_group_name_H-M_alt 'I -4 2 m'
_space_group_IT_number 121
_space_group_name_Hall 'I -4 2'
loop_
_atom_site_label
_atom_site_type_symbol
_atom_site_fract_x
_atom_site_fract_y
_atom_site_fract_z
Pm1 Pm 0.000 0.000 0.000
Th1 Th 0.000 0.500 0.000
Th2 Th 0.206 0.206 0.708
Sc1 Sc 0.159 0.159 0.428
```

***

Entry 11:
Compound: Al2Zn2Re
Source: Alexandria
Functional: PBE
Structure: relaxed

Results
DFT total energy ... -4.234 eV/atom
Energy of formation from the pure elements ... 0.26 eV per atom
Mass density ... 8312 kg/m3

CIF file:
```
data_Al2Zn2Re
_chemical_formula_sum 'Al4 Zn4 Re2'
_cell_length_a 6.765
_cell_length_b 6.765
_cell_length_c 3.239
_cell_angle_alpha 90.00
_cell_angle_beta 90.00
_cell_angle_gamma 90.00
_space_group_name_H-M_alt 'P 4/m b m'
_space_group_IT_number 127
_space_group_name_Hall '-P 4 2ab'
loop_
_atom_site_label
_atom_site_type_symbol
_atom_site_fract_x
_atom_site_fract_y
_atom_site_fract_z
Al1 Al 0.177 0.323 0.000
Zn1 Zn 0.127 0.627 0.500
Re1 Re 0.000 0.000 0.500
```

***

Entry 12:
Compound: TaTl3I2Br6
Source: Alexandria
Functional: PBE
Structure: relaxed

Results
DFT total energy ... -3.456 eV/atom
Raw formation energy ... -782.1 meV/atom
Mass density ... 5130 kg/m3

CIF file:
```
data_TaTl3I2Br6
_chemical_formula_sum 'Ta2 Tl6 I4 Br12'
_cell_length_a 16.853
_cell_length_b 9.220
_cell_length_c 6.364
_cell_angle_alpha 90.00
_cell_angle_beta 90.59
_cell_angle_gamma 90.00
_space_group_name_H-M_alt 'C 1 2/m 1'
_space_group_IT_number 12
loop_
_space_group_symop_operation_xyz
'x,y,z'
'-x,-y,-z'
'-x,y,-z'
'x,-y,z'
'x+1/2,y+1/2,z'
'-x+1/2,-y+1/2,-z'
'-x+1/2,y+1/2,-z'
'x+1/2,-y+1/2,z'
loop_
_atom_site_label
_atom_site_type_symbol
_atom_site_fract_x
_atom_site_fract_y
_atom_site_fract_z
Ta1 Ta 0.000 0.000 0.000
Tl1 Tl 0.000 0.500 0.500
Tl2 Tl 0.250 0.250 0.000
I1 I 0.192 0.500 0.636
Br1 Br 0.065 0.195 0.226
Br2 Br 0.120 0.000 0.764
```

***

Entry 13:
Compound: HfTl2Te2Se6
Source: Alexandria
Functional: PBE
Structure: relaxed

Results
DFT total energy ... -4.191 eV/atom
Raw formation energy ... -383.7 meV/atom
Mass density ... 5800 kg/m3

CIF file:
```
data_HfTl2Te2Se6
_chemical_formula_sum 'Hf2 Tl4 Te4 Se12'
_cell_length_a 15.003
_cell_length_b 7.457
_cell_length_c 7.584
_cell_angle_alpha 90.00
_cell_angle_beta 117.35
_cell_angle_gamma 90.00
_space_group_name_H-M_alt 'C 1 2/m 1'
_space_group_IT_number 12
loop_
_space_group_symop_operation_xyz
'x,y,z'
'-x,-y,-z'
'-x,y,-z'
'x,-y,z'
'x+1/2,y+1/2,z'
'-x+1/2,-y+1/2,-z'
'-x+1/2,y+1/2,-z'
'x+1/2,-y+1/2,z'
loop_
_atom_site_label
_atom_site_type_symbol
_atom_site_fract_x
_atom_site_fract_y
_atom_site_fract_z
Hf1 Hf 0.000 0.000 0.000
Tl1 Tl 0.229 0.000 0.731
Te1 Te 0.020 0.500 0.332
Se1 Se 0.099 0.252 0.902
Se2 Se 0.185 0.000 0.261
```

***

Entry 14:
Compound: AcGaNiCl
Source: Alexandria
Functional: PBE
Structure: relaxed

Results
DFT total energy ... -4.697 eV/atom
Raw formation energy ... -1006.4 meV/atom
Mass density ... 6113 kg/m3

CIF file:
```
data_AcGaNiCl
_chemical_formula_sum 'Ac6 Ga6 Ni6 Cl6'
_cell_length_a 4.3162
_cell_length_b 4.3162
_cell_length_c 39.4866
_cell_angle_alpha 90.00
_cell_angle_beta 90.00
_cell_angle_gamma 120.00
_space_group_name_H-M_alt 'R -3 m'
_space_group_IT_number 166
_space_group_name_Hall '-R 3 2"'
loop_
_atom_site_label
_atom_site_type_symbol
_atom_site_fract_x
_atom_site_fract_y
_atom_site_fract_z
Ac1 Ac 0.0000 0.0000 0.0802
Ga1 Ga 0.0000 0.0000 0.3086
Ni1 Ni 0.0000 0.0000 0.3687
Cl1 Cl 0.0000 0.0000 0.2074
```

***

Entry 15:
Compound: Ti2Fe3Co
Source: Alexandria
Functional: PBE
Structure: relaxed

Results
DFT total energy ... -8.333 eV/atom
Energy of formation from the pure elements ... -0.29 eV per atom
Mass density ... 7012 kg/m3

CIF file:
```
data_Ti2Fe3Co
_chemical_formula_sum 'Ti6 Fe9 Co3'
_cell_length_a 4.7471
_cell_length_b 4.7471
_cell_length_c 11.7282
_cell_angle_alpha 90.00
_cell_angle_beta 90.00
_cell_angle_gamma 120.00
_space_group_name_H-M_alt 'R -3 m'
_space_group_IT_number 166
_space_group_name_Hall '-R 3 2"'
loop_
_atom_site_label
_atom_site_type_symbol
_atom_site_fract_x
_atom_site_fract_y
_atom_site_fract_z
Ti1 Ti 0.0000 0.0000 0.1250
Fe1 Fe 0.0000 0.5000 0.0000
Co1 Co 0.0000 0.0000 0.5000
```

***

Entry 16:
Compound: La2YOsS
Source: Alexandria
Functional: PBE
Structure: relaxed

Results
DFT total energy ... -6.445 eV/atom
Raw formation energy ... -109.4 meV/atom
Mass density ... 6751 kg/m3

CIF file:
```
data_La2YOsS
_chemical_formula_sum 'La2 Y1 Os1 S1'
_cell_length_a 5.381
_cell_length_b 5.381
_cell_length_c 5.003
_cell_angle_alpha 90.00
_cell_angle_beta 90.00
_cell_angle_gamma 90.00
_space_group_name_H-M_alt 'P 4/m m m'
_space_group_IT_number 123
_space_group_name_Hall '-P 4 2'
loop_
_atom_site_label
_atom_site_type_symbol
_atom_site_fract_x
_atom_site_fract_y
_atom_site_fract_z
La1 La 0.000 0.500 0.000
Y1 Y 0.000 0.000 0.500
Os1 Os 0.500 0.500 0.500
S1 S 0.000 0.000 0.000
```

***

Entry 17:
Compound: HfGaTe2
Source: Alexandria
Functional: PBE
Structure: relaxed

Results
DFT total energy ... -5.225 eV/atom
Raw formation energy ... -409.3 meV/atom
Mass density ... 6458 kg/m3

CIF file:
```
data_HfGaTe2
_chemical_formula_sum 'Hf3 Ga3 Te6'
_cell_length_a 3.8773
_cell_length_b 3.8773
_cell_length_c 29.8274
_cell_angle_alpha 90.00
_cell_angle_beta 90.00
_cell_angle_gamma 120.00
_space_group_name_H-M_alt 'R -3 m'
_space_group_IT_number 166
_space_group_name_Hall '-R 3 2"'
loop_
_atom_site_label
_atom_site_type_symbol
_atom_site_fract_x
_atom_site_fract_y
_atom_site_fract_z
Hf1 Hf 0.0000 0.0000 0.0000
Ga1 Ga 0.0000 0.0000 0.5000
Te1 Te 0.0000 0.0000 0.3940
```

***

Entry 18:
Compound: LaPrAlAg
Source: Alexandria
Functional: PBE
Structure: relaxed

Results
DFT total energy ... -4.354 eV/atom
Energy of formation from the pure elements ... -0.28 eV per atom
Mass density ... 6210 kg/m3

CIF file:
```
data_LaPrAlAg
_chemical_formula_sum 'La4 Pr4 Al4 Ag4'
_cell_length_a 7.626
_cell_length_b 7.626
_cell_length_c 7.626
_cell_angle_alpha 90.00
_cell_angle_beta 90.00
_cell_angle_gamma 90.00
_space_group_name_H-M_alt 'F -4 3 m'
_space_group_IT_number 216
_space_group_name_Hall 'F -4 2 3'
loop_
_atom_site_label
_atom_site_type_symbol
_atom_site_fract_x
_atom_site_fract_y
_atom_site_fract_z
La1 La 0.000 0.000 0.000
Pr1 Pr 0.000 0.000 0.500
Al1 Al 0.250 0.250 0.250
Ag1 Ag 0.250 0.250 0.750
```

***

Entry 19:
Compound: KTcSbO6
Source: Alexandria
Functional: PBE
Structure: relaxed

Results
DFT total energy ... -6.485 eV/atom
Raw formation energy ... -1447.4 meV/atom
Mass density ... 3959 kg/m3

CIF file:
```
data_KTcSbO6
_chemical_formula_sum 'K1 Tc1 Sb1 O6'
_cell_length_a 5.3764
_cell_length_b 5.3764
_cell_length_c 5.9450
_cell_angle_alpha 90.00
_cell_angle_beta 90.00
_cell_angle_gamma 120.00
_space_group_name_H-M_alt 'P 3 1 2'
_space_group_IT_number 149
loop_
_space_group_symop_operation_xyz
'x,y,z'
'-y,x-y,z'
'-x+y,-x,z'
'-y,-x,-z'
'-x+y,y,-z'
'x,x-y,-z'
loop_
_atom_site_label
_atom_site_type_symbol
_atom_site_fract_x
_atom_site_fract_y
_atom_site_fract_z
K1 K 0.0000 0.0000 0.0000
Tc1 Tc 0.3333 0.6667 0.5000
Sb1 Sb 0.6667 0.3333 0.5000
O1 O 0.0127 0.4146 0.6901
```

***

Entry 20:
Compound: LiPrY2Cd4
Source: Alexandria
Functional: PBE
Structure: relaxed

Results
DFT total energy ... -3.186 eV/atom
Energy of formation from the pure elements ... -0.28 eV per atom
Mass density ... 6231 kg/m3

CIF file:
```
data_LiPrY2Cd4
_chemical_formula_sum 'Li3 Pr3 Y6 Cd12'
_cell_length_a 5.2222
_cell_length_b 5.2222
_cell_length_c 26.2447
_cell_angle_alpha 90.00
_cell_angle_beta 90.00
_cell_angle_gamma 120.00
_space_group_name_H-M_alt 'R -3 m'
_space_group_IT_number 166
_space_group_name_Hall '-R 3 2"'
loop_
_atom_site_label
_atom_site_type_symbol
_atom_site_fract_x
_atom_site_fract_y
_atom_site_fract_z
Li1 Li 0.0000 0.0000 0.0000
Pr1 Pr 0.0000 0.0000 0.5000
Y1 Y 0.0000 0.0000 0.2542
Cd1 Cd 0.0000 0.0000 0.1159
Cd2 Cd 0.0000 0.0000 0.3729
```